Below is an optimized crystal structure of NiAuF, with properties calculated at the PBE+U level.

Unit cell a=3.0076 b=6.8703 c=4.5017 alpha=90.00 beta=90.00 gamma=90.00
Space group Pmn2_1 (No. 31)
Inequivalent atoms, fractional coordinates:
Ni: 0.0000 0.1837 0.0000 [2 per cell]
Au: 0.0000 0.5688 0.1971 [2 per cell]
F: 0.0000 0.9479 0.7231 [2 per cell]

***

Below is an optimized crystal structure of NiAuF, with properties calculated at the PBE+U level.

Unit cell a=5.4632 b=12.5333 c=2.8241 alpha=90.00 beta=106.35 gamma=90.00
Space group C2 (No. 5)
Inequivalent atoms, fractional coordinates:
Ni: 0.0000 0.0000 0.0000 [2 per cell]
Ni: 0.0000 0.3132 0.0000 [2 per cell]
Au: 0.2316 0.6633 0.3721 [4 per cell]
F: 0.2400 0.9259 0.7055 [4 per cell]

***

Below is an optimized crystal structure of NiAuF, with properties calculated at the PBE+U level.

Unit cell a=2.8649 b=12.4239 c=5.2989 alpha=90.00 beta=90.00 gamma=90.00
Space group Cmc2_1 (No. 36)
Inequivalent atoms, fractional coordinates:
Ni: 0.0000 0.1556 0.0000 [4 per cell]
Au: 0.0000 0.4819 0.7905 [4 per cell]
F: 0.0000 0.2594 0.3156 [4 per cell]

***

| no. | D(E_F) (states/eV/cell) | E above lowest polymorph (kJ per mole of atoms) |
| --- | --- | --- |
| 1 | 0.92 | 0.0 |
| 2 | 3.24 | 8.6 |
| 3 | 2.07 | 1.1 |